(1)
Ba2Tl2Bi GGA-PBE optimized geometry; excess energy over the best structure of this formula in the dataset = 30 meV per atom; calculated formation energy = -0.46 eV per atom
1.0
-2.341 4.375 -6.983
2.683 -6.459 -4.946
-4.837 -2.197 0.245
Tl Bi Ba
4 2 4
direct
0.129 0.371 0.000
0.871 0.629 0.000
0.371 0.871 0.000
0.629 0.129 0.000
0.500 0.500 0.000
0.000 0.000 0.000
0.175 0.675 0.500
0.825 0.325 0.500
0.675 0.825 0.500
0.325 0.175 0.500

---

(2)
MnCu2W GGA-PBE optimized geometry; excess energy over the best structure of this formula in the dataset = 0 meV per atom; calculated formation energy = 0.22 eV per atom
1.0
-1.689 1.634 1.220
-1.383 -2.082 0.874
4.288 -0.229 6.243
Cu W Mn
2 1 1
direct
0.000 0.000 0.016
0.500 0.500 0.247
0.500 0.500 0.752
0.000 0.000 0.485

---

(3)
Zr2AgHgF GGA-PBE optimized geometry; raw total energy = -3.689 eV/atom
1.0
-2.114 4.330 -2.395
-3.618 0.239 3.626
3.174 3.184 2.956
F Hg Ag Zr
1 1 1 2
direct
0.500 0.500 0.500
0.000 0.000 0.000
0.000 0.500 0.000
0.000 0.000 0.500
0.500 0.000 0.000

---

(4)
Al3HSe GGA-PBE optimized geometry; raw total energy = -3.332 eV/atom
1.0
-2.862 -0.533 -3.138
-0.097 -4.203 0.803
-3.181 0.608 2.798
Se Al H
1 3 1
direct
0.500 0.500 0.500
0.000 0.000 0.500
0.000 0.500 0.000
0.500 0.000 0.000
0.000 0.000 0.000

---

(5)
ThPaGa GGA-PBE optimized geometry; excess energy over the best structure of this formula in the dataset = 219 meV per atom; calculated formation energy = 0.16 eV per atom
1.0
-1.209 2.218 1.731
-3.925 0.488 -3.367
-0.389 -3.316 3.979
Ga Pa Th
1 1 1
direct
0.667 0.667 0.333
0.166 0.000 0.000
0.167 0.333 0.667

---

(6)
Zr2PtCl GGA-PBE optimized geometry; excess energy over the best structure of this formula in the dataset = 73 meV per atom
1.0
-2.255 1.708 1.468
-1.879 -2.738 0.299
3.332 -1.531 6.903
Pt Cl Zr
1 1 2
direct
0.500 0.750 0.750
0.500 0.250 0.250
0.000 0.250 0.533
0.000 0.250 0.967

---

(7)
LaTb5PmY2 GGA-PBE optimized geometry; calculated formation energy = 0.29 eV per atom
1.0
8.823 0.000 0.000
0.000 8.823 0.000
-4.411 -4.411 7.711
Pm Tb Y La
2 10 4 2
direct
0.250 0.750 0.500
0.750 0.250 0.500
0.661 0.161 0.730
0.500 0.500 0.000
0.568 0.661 0.730
0.161 0.068 0.730
0.432 0.339 0.270
0.339 0.839 0.270
0.000 0.000 0.000
0.068 0.568 0.730
0.839 0.932 0.270
0.932 0.432 0.270
0.117 0.383 0.000
0.617 0.117 0.000
0.883 0.617 0.000
0.383 0.883 0.000
0.750 0.750 0.500
0.250 0.250 0.500

---

(8)
Sr3MnS GGA-PBE optimized geometry; excess energy over the best structure of this formula in the dataset = 0 meV per atom
1.0
5.777 0.000 0.000
0.000 5.777 0.000
0.000 0.000 5.777
Mn S Sr
1 1 3
direct
0.500 0.500 0.500
0.000 0.000 0.000
0.000 0.500 0.000
0.500 0.000 0.000
0.000 0.000 0.500

---

(9)
VSbBr GGA-PBE optimized geometry; raw total energy = -5.158 eV/atom
1.0
-1.336 -0.380 -2.768
-0.205 -7.017 1.062
-13.994 1.402 6.560
V Sb Br
4 4 4
direct
0.750 0.531 0.931
0.250 0.031 0.569
0.250 0.469 0.069
0.750 0.969 0.431
0.250 0.295 0.441
0.750 0.795 0.059
0.250 0.205 0.941
0.750 0.705 0.559
0.250 0.700 0.832
0.250 0.800 0.332
0.750 0.200 0.668
0.750 0.300 0.168

---

(10)
AcSnSbAu GGA-PBE optimized geometry; raw total energy = -4.386 eV/atom
1.0
-1.548 3.069 -4.245
1.177 -1.589 -5.092
-3.985 -1.730 -3.311
Sb Au Ac Sn
1 1 1 1
direct
0.000 0.000 0.000
0.500 0.500 0.500
0.750 0.750 0.750
0.250 0.250 0.250

---

(11)
CdAs2Rh GGA-PBE optimized geometry; calculated formation energy = 0.14 eV per atom
1.0
-3.439 3.673 -1.145
-3.186 0.958 3.945
5.135 -0.303 -0.417
Rh As Cd
1 2 1
direct
0.750 0.250 0.500
0.000 0.000 0.000
0.250 0.750 0.500
0.500 0.500 0.000

---

(12)
TbSc4Pb5 GGA-PBE optimized geometry; calculated formation energy = -0.21 eV per atom
1.0
-1.640 4.501 3.741
-6.808 2.670 -1.258
-3.395 -2.279 6.192
Sc Pb Tb
4 5 1
direct
0.213 0.177 0.399
0.611 0.601 0.177
0.390 0.399 0.823
0.788 0.823 0.601
0.319 0.774 0.589
0.503 0.000 0.000
0.682 0.226 0.411
0.093 0.589 0.226
0.908 0.411 0.774
0.003 0.000 0.000

---

(13)
AgAsRh4 GGA-PBE optimized geometry; calculated formation energy = 0.37 eV per atom
1.0
0.000 3.661 3.661
3.661 0.000 3.661
3.661 3.661 0.000
Rh Ag As
4 1 1
direct
0.375 0.375 0.875
0.375 0.875 0.375
0.375 0.375 0.375
0.875 0.375 0.375
0.750 0.750 0.750
0.000 0.000 0.000

---

(14)
Pu2NiRh GGA-PBE optimized geometry; calculated formation energy = -0.22 eV per atom
1.0
-1.262 0.951 3.017
-4.344 0.500 -1.974
-0.994 -4.580 1.027
Rh Ni Pu
1 1 2
direct
0.500 0.000 0.000
0.500 0.500 0.500
0.000 0.000 0.500
0.000 0.500 0.000

---

(15)
Np2Ni3P4Rh GGA-PBE optimized geometry; calculated formation energy = -0.73 eV per atom
1.0
-1.115 0.416 -3.847
-1.719 -3.640 0.105
-7.873 3.797 2.693
P Np Rh Ni
4 2 1 3
direct
0.000 0.500 0.357
0.500 0.000 0.643
0.000 0.000 0.000
0.500 0.500 0.000
0.500 0.000 0.239
0.000 0.500 0.761
0.500 0.500 0.500
0.000 0.500 0.112
0.500 0.000 0.888
0.000 0.000 0.500

---

(16)
KCo2Ir GGA-PBE optimized geometry; excess energy over the best structure of this formula in the dataset = 0 meV per atom; calculated formation energy = 0.58 eV per atom
1.0
-0.133 -0.287 -3.737
1.000 -2.470 0.154
-5.915 -4.971 0.593
Co K Ir
2 1 1
direct
0.000 0.608 0.405
0.000 0.892 0.095
0.500 0.750 0.750
0.500 0.250 0.250

---

(17)
Tm4Cd3Cu GGA-PBE optimized geometry; calculated formation energy = -0.29 eV per atom
1.0
3.581 0.000 0.000
0.000 3.581 0.000
0.000 0.000 14.941
Cu Tm Cd
1 4 3
direct
0.500 0.500 0.000
0.000 0.000 0.109
0.000 0.000 0.891
0.000 0.000 0.370
0.000 0.000 0.630
0.500 0.500 0.242
0.500 0.500 0.500
0.500 0.500 0.758

---

Number 1: magnetization 0.00 μB per formula unit, density of states at the Fermi level 9.58 states/eV per cell, volume 39.025 A^3/atom. Number 2: magnetization 2.71 μB per formula unit, density of states at the Fermi level 3.34 states/eV per cell, volume 13.282 A^3/atom. Number 3: magnetization 2.21 μB per formula unit, density of states at the Fermi level 3.78 states/eV per cell, volume 29.689 A^3/atom. Number 4: magnetization 0.00 μB per formula unit, density of states at the Fermi level 1.16 states/eV per cell, volume 15.680 A^3/atom. Number 5: magnetization 0.00 μB per formula unit, density of states at the Fermi level 4.74 states/eV per cell, volume 23.853 A^3/atom. Number 6: magnetization 0.00 μB per formula unit, density of states at the Fermi level 3.33 states/eV per cell, volume 20.770 A^3/atom. Number 7: magnetization 0.00 μB per formula unit, density of states at the Fermi level 23.65 states/eV per cell, volume 33.346 A^3/atom. Number 8: magnetization 4.87 μB per formula unit, density of states at the Fermi level 4.88 states/eV per cell, volume 38.552 A^3/atom. Number 9: magnetization 0.00 μB per formula unit, density of states at the Fermi level 12.14 states/eV per cell, volume 28.435 A^3/atom. Number 10: magnetization 0.00 μB per formula unit, density of states at the Fermi level 2.31 states/eV per cell, volume 28.809 A^3/atom. Number 11: magnetization 0.00 μB per formula unit, density of states at the Fermi level 2.09 states/eV per cell, volume 17.831 A^3/atom. Number 12: magnetization 0.00 μB per formula unit, density of states at the Fermi level 10.66 states/eV per cell, volume 27.851 A^3/atom. Number 13: magnetization 0.30 μB per formula unit, density of states at the Fermi level 11.25 states/eV per cell, volume 16.361 A^3/atom. Number 14: magnetization 10.29 μB per formula unit, density of states at the Fermi level 16.58 states/eV per cell, volume 19.599 A^3/atom. Number 15: magnetization 7.90 μB per formula unit, density of states at the Fermi level 19.88 states/eV per cell, volume 14.831 A^3/atom. Number 16: magnetization 3.43 μB per formula unit, density of states at the Fermi level 6.85 states/eV per cell, volume 18.424 A^3/atom. Number 17: magnetization 0.00 μB per formula unit, density of states at the Fermi level 5.65 states/eV per cell, volume 23.946 A^3/atom.